# 1
Density functional theory data (PBE) for a relaxed K2Sn2H5 crystal.

The structure belongs to space group C2/m (No. 12); the cell edges are 14.240, 3.269 and 6.675 Å and the angles 90.00°, 99.15° and 90.00°. The inequivalent atoms are K at (0.146, 0.000, 0.226), Sn at (0.081, 0.500, 0.722), H at (0.000, 0.500, 0.000), H at (0.174, 0.500, 0.545) and H at (0.183, 0.500, 0.928).

The total energy comes out at -53.53 eV/cell.


# 2
Density functional theory data (PBE) for a relaxed KSnH3 crystal.

The structure belongs to space group P2_1/m (No. 11); the cell edges are 4.851, 5.592 and 7.176 Å and the angles 90.00°, 107.09° and 90.00°. The inequivalent atoms are K at (0.157, 0.250, 0.285), Sn at (0.399, 0.250, 0.840), H at (0.234, 0.750, 0.178) and H at (0.297, 0.019, 0.651).

For the offset from the most stable computed form, the calculation gives 0 meV/atom.


# 3
Density functional theory data (PBE) for a relaxed K3SnH crystal.

The structure belongs to space group Pm-3m (No. 221); the cell edges are 5.520, 5.520 and 5.520 Å and the angles 90.00°, 90.00° and 90.00°. The inequivalent atoms are K at (0.000, 0.000, 0.500), Sn at (0.500, 0.500, 0.500) and H at (0.000, 0.000, 0.000).

For the offset from the most stable computed form, the calculation gives 42 meV/atom.


# 4
Density functional theory data (PBE) for a relaxed K12Sn3H5 crystal.

The structure belongs to space group Ia-3d (No. 230); the cell edges are 18.252, 18.252 and 18.252 Å and the angles 90.00°, 90.00° and 90.00°. The inequivalent atoms are K at (0.034, 0.051, 0.649), Sn at (0.000, 0.250, 0.125), H at (0.000, 0.000, 0.000) and H at (0.000, 0.250, 0.375).

The total energy comes out at -340.79 eV/cell.